1.
Compound: Sc3Te2
Source: Alexandria
Functional: GGA-PBE
Structure: optimized geometry

Summary:
* raw formation energy: -93 kJ per mole of atoms
* V: 120 Å³/f.u.
* M_tot: 0.000 μB/f.u.
* VASP energy: -6.022 eV/atom

Cell: 11.244 3.932 10.831 Å, 90.00 90.00 90.00°
Element x y z (fractional)
Sc (0.039, 0.250, 0.122)
Sc (0.125, 0.750, 0.571)
Sc (0.206, 0.250, 0.794)
Sc (0.294, 0.750, 0.294)
Sc (0.375, 0.250, 0.071)
Sc (0.461, 0.750, 0.622)
Sc (0.539, 0.250, 0.378)
Sc (0.625, 0.750, 0.929)
Sc (0.706, 0.250, 0.706)
Sc (0.794, 0.750, 0.206)
Sc (0.875, 0.250, 0.429)
Sc (0.961, 0.750, 0.878)
Te (0.035, 0.750, 0.322)
Te (0.196, 0.750, 0.000)
Te (0.304, 0.250, 0.500)
Te (0.465, 0.250, 0.822)
Te (0.535, 0.750, 0.178)
Te (0.696, 0.750, 0.500)
Te (0.804, 0.250, 0.000)
Te (0.965, 0.250, 0.678)

***

2.
Compound: Sc3Te5
Source: Alexandria
Functional: GGA-PBE
Structure: optimized geometry

Summary:
* raw formation energy: -91 kJ per mole of atoms
* V: 213 Å³/f.u.
* M_tot: 0.000 μB/f.u.
* VASP energy: -5.280 eV/atom

Cell: 9.061 9.061 5.979 Å, 90.00 90.00 120.00°
Element x y z (fractional)
Sc (0.000, 0.376, 0.250)
Sc (0.000, 0.624, 0.750)
Sc (0.376, 0.000, 0.250)
Sc (0.376, 0.376, 0.750)
Sc (0.624, 0.000, 0.750)
Sc (0.624, 0.624, 0.250)
Te (0.000, 0.273, 0.750)
Te (0.000, 0.727, 0.250)
Te (0.273, 0.000, 0.750)
Te (0.273, 0.273, 0.250)
Te (0.333, 0.667, 0.000)
Te (0.333, 0.667, 0.500)
Te (0.667, 0.333, 0.000)
Te (0.667, 0.333, 0.500)
Te (0.727, 0.000, 0.250)
Te (0.727, 0.727, 0.750)

***

3.
Compound: ScTe
Source: Alexandria
Functional: GGA-PBE
Structure: optimized geometry

Summary:
* raw formation energy: -59 kJ per mole of atoms
* V: 69 Å³/f.u.
* M_tot: 1.016 μB/f.u.
* VASP energy: -5.345 eV/atom

Cell: 9.595 9.595 9.595 Å, 24.96 24.96 24.96°
Element x y z (fractional)
Sc (0.117, 0.117, 0.117)
Sc (0.883, 0.883, 0.883)
Te (0.398, 0.398, 0.398)
Te (0.602, 0.602, 0.602)

***

4.
Compound: ScTe
Source: Alexandria
Functional: GGA-PBE
Structure: optimized geometry

Summary:
* raw formation energy: -99 kJ per mole of atoms
* V: 52 Å³/f.u.
* M_tot: 0.000 μB/f.u.
* VASP energy: -5.768 eV/atom

Cell: 3.990 3.990 7.478 Å, 90.00 90.00 120.00°
Element x y z (fractional)
Sc (0.333, 0.667, 0.250)
Sc (0.667, 0.333, 0.750)
Te (0.000, 0.000, 0.000)
Te (0.000, 0.000, 0.500)

***

5.
Compound: Sc2Te3
Source: Alexandria
Functional: GGA-PBE
Structure: optimized geometry

Summary:
* raw formation energy: -112 kJ per mole of atoms
* V: 157 Å³/f.u.
* M_tot: 0.000 μB/f.u.
* VASP energy: -5.577 eV/atom

Cell: 7.609 7.246 8.790 Å, 55.66 51.83 72.51°
Element x y z (fractional)
Sc (0.321, 0.679, 0.415)
Sc (0.665, 0.835, 0.571)
Sc (0.679, 0.321, 0.585)
Sc (0.835, 0.665, 0.929)
Te (0.047, 0.047, 0.453)
Te (0.281, 0.524, 0.824)
Te (0.426, 0.880, 0.969)
Te (0.524, 0.281, 0.370)
Te (0.797, 0.797, 0.203)
Te (0.880, 0.426, 0.726)

***

6.
Compound: ScTe2
Source: Alexandria
Functional: GGA-PBE
Structure: optimized geometry

Summary:
* raw formation energy: -91 kJ per mole of atoms
* V: 90 Å³/f.u.
* M_tot: 0.000 μB/f.u.
* VASP energy: -5.150 eV/atom

Cell: 7.882 7.882 5.712 Å, 90.00 90.00 149.36°
Element x y z (fractional)
Sc (0.180, 0.820, 0.750)
Sc (0.820, 0.180, 0.250)
Te (0.182, 0.818, 0.250)
Te (0.461, 0.539, 0.250)
Te (0.539, 0.461, 0.750)
Te (0.818, 0.182, 0.750)

***

7.
Compound: Sc5Te3
Source: Alexandria
Functional: GGA-PBE
Structure: optimized geometry

Summary:
* relative energy among the computed polymorphs: 0.52 eV/f.u.
* raw formation energy: -74 kJ per mole of atoms
* V: 191 Å³/f.u.
* M_tot: 0.000 μB/f.u.
* VASP energy: -5.901 eV/atom

Cell: 7.787 7.787 6.793 Å, 105.59 105.59 84.31°
Element x y z (fractional)
Sc (0.020, 0.980, 0.750)
Sc (0.171, 0.615, 0.988)
Sc (0.219, 0.349, 0.340)
Sc (0.349, 0.219, 0.840)
Sc (0.385, 0.829, 0.512)
Sc (0.615, 0.171, 0.488)
Sc (0.651, 0.781, 0.160)
Sc (0.781, 0.651, 0.660)
Sc (0.829, 0.385, 0.012)
Sc (0.980, 0.020, 0.250)
Te (0.015, 0.685, 0.367)
Te (0.315, 0.985, 0.133)
Te (0.462, 0.538, 0.750)
Te (0.538, 0.462, 0.250)
Te (0.685, 0.015, 0.867)
Te (0.985, 0.315, 0.633)

***

8.
Compound: ScTe
Source: Alexandria
Functional: GGA-PBE
Structure: optimized geometry

Summary:
* raw formation energy: -113 kJ per mole of atoms
* V: 51 Å³/f.u.
* M_tot: 0.000 μB/f.u.
* VASP energy: -5.912 eV/atom

Cell: 4.127 4.127 6.962 Å, 90.00 90.00 120.00°
Element x y z (fractional)
Sc (0.000, 0.000, 0.000)
Sc (0.000, 0.000, 0.500)
Te (0.333, 0.667, 0.250)
Te (0.667, 0.333, 0.750)